VASP calculation (PBE-GGA) on crystalline DyTh2ZrN4 at its relaxed geometry.

Values from the calculation:
Formation energy from raw total energies: -1228 kJ/mol of formula units

Cell: 6.0642 3.4881 6.1188 Å, 90.00 109.15 90.00°
Atoms (fractional coordinates):
Dy 0.0000 0.0000 0.0000
Th 0.0000 0.5000 0.5000
Th 0.5000 0.0000 0.5000
Zr 0.5000 0.5000 0.0000
N 0.2548 0.5000 0.2332
N 0.2665 0.0000 0.7729
N 0.7335 0.0000 0.2271
N 0.7452 0.5000 0.7668

=====

VASP calculation (PBE-GGA) on crystalline CePIr3 at its relaxed geometry.

Values from the calculation:
Energy of formation from the pure elements: -0.8426 eV per atom

Cell: 6.0215 6.0215 6.0215 Å, 140.97 140.97 56.39°
Atoms (fractional coordinates):
Ce 0.0000 0.0000 0.0000
P 0.6299 0.6299 0.0000
Ir 0.2438 0.7438 0.5000
Ir 0.4172 0.4172 0.0000
Ir 0.7438 0.2438 0.5000

=====

VASP calculation (PBE-GGA) on crystalline ScPS4Cl at its relaxed geometry.

Values from the calculation:
Formation energy from raw total energies: -506 kJ/mol of formula units

Cell: 7.1428 7.1428 9.3231 Å, 94.86 94.86 58.49°
Atoms (fractional coordinates):
Sc 0.1530 0.1530 0.4950
Sc 0.8470 0.8470 0.5050
P 0.3598 0.3598 0.7833
P 0.6402 0.6402 0.2167
S 0.0515 0.4969 0.6636
S 0.3295 0.3295 0.9881
S 0.4823 0.4823 0.2252
S 0.4969 0.0515 0.6636
S 0.5031 0.9485 0.3364
S 0.5177 0.5177 0.7748
S 0.6705 0.6705 0.0119
S 0.9485 0.5031 0.3364
Cl 0.0169 0.0169 0.6739
Cl 0.9831 0.9831 0.3261

=====

VASP calculation (PBE-GGA) on crystalline LiYBe at its relaxed geometry.

Values from the calculation:
Offset from the most stable computed form: 345 meV per atom
Energy of formation from the pure elements: 0.5910 eV per atom

Cell: 4.4396 4.4396 4.4396 Å, 60.00 60.00 60.00°
Atoms (fractional coordinates):
Li 0.0000 0.0000 0.0000
Y 0.2500 0.2500 0.2500
Be 0.7500 0.7500 0.7500

=====

VASP calculation (PBE-GGA) on crystalline CsLiScF2 at its relaxed geometry.

Values from the calculation:
Formation energy from raw total energies: -420 kJ/mol of formula units

Cell: 4.3396 4.3396 5.3265 Å, 90.00 90.00 90.00°
Atoms (fractional coordinates):
Cs 0.0000 0.0000 0.0000
Li 0.0000 0.0000 0.5000
Sc 0.5000 0.5000 0.0000
F 0.0000 0.5000 0.5000
F 0.5000 0.0000 0.5000

=====

VASP calculation (PBE-GGA) on crystalline Be2InOs at its relaxed geometry.

Values from the calculation:
Energy of formation from the pure elements: 0.0292 eV per atom

Cell: 3.0537 3.0537 5.7029 Å, 90.00 90.00 90.00°
Atoms (fractional coordinates):
Be 0.0000 0.0000 0.1822
Be 0.0000 0.0000 0.8178
In 0.5000 0.5000 0.5000
Os 0.5000 0.5000 0.0000

=====

VASP calculation (PBE-GGA) on crystalline ScTaCuIr at its relaxed geometry.

Values from the calculation:
Energy of formation from the pure elements: -0.3930 eV per atom

Cell: 4.5263 4.5263 4.5263 Å, 60.00 60.00 60.00°
Atoms (fractional coordinates):
Sc 0.0000 0.0000 0.0000
Ta 0.5000 0.5000 0.5000
Cu 0.7500 0.7500 0.7500
Ir 0.2500 0.2500 0.2500

=====

VASP calculation (PBE-GGA) on crystalline AlPSF2 at its relaxed geometry.

Values from the calculation:
Formation energy from raw total energies: -344 kJ/mol of formula units

Cell: 3.9789 3.9789 5.2270 Å, 90.00 90.00 90.00°
Atoms (fractional coordinates):
Al 0.0000 0.0000 0.0000
P 0.5000 0.5000 0.5000
S 0.5000 0.5000 0.0000
F 0.0000 0.5000 0.5000
F 0.5000 0.0000 0.5000

=====

VASP calculation (PBE-GGA) on crystalline TbZnBi2 at its relaxed geometry.

Values from the calculation:
Offset from the most stable computed form: 0 meV per atom
Energy of formation from the pure elements: -0.3212 eV per atom

Cell: 4.8696 4.8696 4.4943 Å, 90.00 90.00 90.00°
Atoms (fractional coordinates):
Tb 0.0000 0.0000 0.0000
Zn 0.5000 0.5000 0.0000
Bi 0.0000 0.5000 0.5000
Bi 0.5000 0.0000 0.5000

=====

VASP calculation (PBE-GGA) on crystalline ReOs6 at its relaxed geometry.

Values from the calculation:
Offset from the most stable computed form: 458 meV per atom
Energy of formation from the pure elements: 0.5740 eV per atom

Cell: 7.0384 7.0384 7.0384 Å, 35.78 35.78 35.78°
Atoms (fractional coordinates):
Re 0.0000 0.0000 0.0000
Os 0.1667 0.1667 0.1667
Os 0.3001 0.3001 0.3001
Os 0.4349 0.4349 0.4349
Os 0.5651 0.5651 0.5651
Os 0.6999 0.6999 0.6999
Os 0.8333 0.8333 0.8333

=====

VASP calculation (PBE-GGA) on crystalline Ca4NiMo at its relaxed geometry.

Values from the calculation:
Energy of formation from the pure elements: 1.1967 eV per atom

Cell: 6.3144 6.3144 6.3144 Å, 60.00 60.00 60.00°
Atoms (fractional coordinates):
Ca 0.1252 0.1252 0.1252
Ca 0.1252 0.1252 0.6244
Ca 0.1252 0.6244 0.1252
Ca 0.6244 0.1252 0.1252
Ni 0.5000 0.5000 0.5000
Mo 0.7500 0.7500 0.7500

=====

VASP calculation (PBE-GGA) on crystalline SbTeI2N at its relaxed geometry.

Values from the calculation:
Offset from the most stable computed form: 127 meV per atom
Formation energy from raw total energies: 434 kJ/mol of formula units

Cell: 4.9035 4.9035 5.2674 Å, 90.00 90.00 90.00°
Atoms (fractional coordinates):
Sb 0.0000 0.0000 0.0000
Te 0.5000 0.5000 0.0000
I 0.0000 0.5000 0.5000
I 0.5000 0.0000 0.5000
N 0.0000 0.0000 0.5000

=====

VASP calculation (PBE-GGA) on crystalline K2BaHg2 at its relaxed geometry.

Values from the calculation:
Offset from the most stable computed form: 41 meV per atom
Energy of formation from the pure elements: -0.1933 eV per atom

Cell: 8.8666 8.8666 8.8666 Å, 146.69 146.69 47.82°
Atoms (fractional coordinates):
K 0.2500 0.7500 0.5000
K 0.7500 0.2500 0.5000
Ba 0.0000 0.0000 0.0000
Hg 0.4076 0.4076 0.0000
Hg 0.5924 0.5924 0.0000

=====

VASP calculation (PBE-GGA) on crystalline ZrNi2Au at its relaxed geometry.

Values from the calculation:
Energy of formation from the pure elements: -0.3937 eV per atom

Cell: 4.6941 4.6941 4.6941 Å, 129.29 129.29 74.54°
Atoms (fractional coordinates):
Zr 0.0000 0.0000 0.0000
Ni 0.2500 0.7500 0.5000
Ni 0.7500 0.2500 0.5000
Au 0.5000 0.5000 0.0000

=====

VASP calculation (PBE-GGA) on crystalline ErTh3Os8 at its relaxed geometry.

Values from the calculation:
Energy of formation from the pure elements: -0.2640 eV per atom

Cell: 9.4231 9.4231 9.4231 Å, 33.48 33.48 33.48°
Atoms (fractional coordinates):
Er 0.0000 0.0000 0.0000
Th 0.3750 0.3750 0.3750
Th 0.5007 0.5007 0.5007
Th 0.8760 0.8760 0.8760
Os 0.1873 0.1873 0.1873
Os 0.4346 0.9373 0.9373
Os 0.4376 0.4376 0.9418
Os 0.4376 0.9418 0.4376
Os 0.6869 0.6869 0.6869
Os 0.9373 0.4346 0.9373
Os 0.9373 0.9373 0.4346
Os 0.9418 0.4376 0.4376

=====

VASP calculation (PBE-GGA) on crystalline KPt2 at its relaxed geometry.

Values from the calculation:
Energy of formation from the pure elements: 0.1052 eV per atom

Cell: 8.6470 8.6470 2.7808 Å, 90.00 90.00 143.02°
Atoms (fractional coordinates):
K 0.1078 0.8922 0.7500
K 0.8922 0.1078 0.2500
Pt 0.2889 0.7111 0.2500
Pt 0.4313 0.5687 0.7500
Pt 0.5687 0.4313 0.2500
Pt 0.7111 0.2889 0.7500

=====

VASP calculation (PBE-GGA) on crystalline PuGaFeRu at its relaxed geometry.

Values from the calculation:
Energy of formation from the pure elements: -0.2226 eV per atom

Cell: 4.4800 4.4800 4.4800 Å, 60.00 60.00 60.00°
Atoms (fractional coordinates):
Pu 0.0000 0.0000 0.0000
Ga 0.5000 0.5000 0.5000
Fe 0.7500 0.7500 0.7500
Ru 0.2500 0.2500 0.2500

=====

VASP calculation (PBE-GGA) on crystalline AgGeTe2 at its relaxed geometry.

Values from the calculation:
Formation energy from raw total energies: 7 kJ/mol of formula units

Cell: 7.9739 7.9739 7.9739 Å, 132.57 132.57 69.34°
Atoms (fractional coordinates):
Ag 0.0000 0.0000 0.0000
Ag 0.7500 0.2500 0.5000
Ge 0.2500 0.7500 0.5000
Ge 0.5000 0.5000 0.0000
Te 0.1314 0.6250 0.0064
Te 0.3750 0.3814 0.5064
Te 0.6186 0.1250 0.9936
Te 0.8750 0.8686 0.4936

=====

VASP calculation (PBE-GGA) on crystalline PO at its relaxed geometry.

Values from the calculation:
Offset from the most stable computed form: 499 meV per atom
Formation energy from raw total energies: -110 kJ/mol of formula units

Cell: 2.7746 2.7746 3.3567 Å, 90.00 90.00 123.90°
Atoms (fractional coordinates):
P 0.0000 0.0000 0.0000
O 0.0000 0.0000 0.5000

=====

VASP calculation (PBE-GGA) on crystalline KNb2CuNi at its relaxed geometry.

Values from the calculation:
Energy of formation from the pure elements: 2.6547 eV per atom

Cell: 4.6282 4.6282 4.4951 Å, 90.00 90.00 90.00°
Atoms (fractional coordinates):
K 0.0000 0.0000 0.0000
Nb 0.0000 0.5000 0.0000
Nb 0.5000 0.0000 0.0000
Cu 0.0000 0.0000 0.5000
Ni 0.5000 0.5000 0.5000

=====

VASP calculation (PBE-GGA) on crystalline AlZn2Re at its relaxed geometry.

Values from the calculation:
Energy of formation from the pure elements: 0.1586 eV per atom

Cell: 2.7273 2.7273 8.0680 Å, 90.00 90.00 90.00°
Atoms (fractional coordinates):
Al 0.0000 0.0000 0.0000
Zn 0.0000 0.0000 0.4871
Zn 0.5000 0.5000 0.7403
Re 0.5000 0.5000 0.2388

=====

VASP calculation (PBE-GGA) on crystalline GeW2AuC at its relaxed geometry.

Values from the calculation:
Energy of formation from the pure elements: 0.7647 eV per atom

Cell: 4.2187 4.2187 4.2626 Å, 90.00 90.00 90.00°
Atoms (fractional coordinates):
Ge 0.0000 0.0000 0.0000
W 0.0000 0.5000 0.5000
W 0.5000 0.0000 0.5000
Au 0.5000 0.5000 0.0000
C 0.5000 0.5000 0.5000

=====

VASP calculation (PBE-GGA) on crystalline Y2ZrOs2 at its relaxed geometry.

Values from the calculation:
Energy of formation from the pure elements: -0.2068 eV per atom

Cell: 7.0863 7.0863 4.4669 Å, 90.00 90.00 90.00°
Atoms (fractional coordinates):
Y 0.1772 0.3228 0.0000
Y 0.3228 0.8228 0.0000
Y 0.6772 0.1772 0.0000
Y 0.8228 0.6772 0.0000
Zr 0.0000 0.0000 0.5000
Zr 0.5000 0.5000 0.5000
Os 0.1224 0.6224 0.5000
Os 0.3776 0.1224 0.5000
Os 0.6224 0.8776 0.5000
Os 0.8776 0.3776 0.5000

=====

VASP calculation (PBE-GGA) on crystalline NaSbNO2 at its relaxed geometry.

Values from the calculation:
Formation energy from raw total energies: -251 kJ/mol of formula units

Cell: 4.0187 4.0187 4.0515 Å, 90.00 90.00 90.00°
Atoms (fractional coordinates):
Na 0.0000 0.0000 0.0000
Sb 0.5000 0.5000 0.5000
N 0.5000 0.5000 0.0000
O 0.0000 0.5000 0.5000
O 0.5000 0.0000 0.5000

=====

VASP calculation (PBE-GGA) on crystalline CeBeTc at its relaxed geometry.

Values from the calculation:
Offset from the most stable computed form: 97 meV per atom
Energy of formation from the pure elements: 0.1307 eV per atom

Cell: 7.4849 7.4849 3.3440 Å, 90.00 90.00 145.91°
Atoms (fractional coordinates):
Ce 0.1128 0.8872 0.7500
Ce 0.8872 0.1128 0.2500
Be 0.4518 0.5482 0.7500
Be 0.5482 0.4518 0.2500
Tc 0.2777 0.7223 0.7500
Tc 0.7223 0.2777 0.2500

=====

VASP calculation (PBE-GGA) on crystalline NaMg4Tl2 at its relaxed geometry.

Values from the calculation:
Energy of formation from the pure elements: -0.0250 eV per atom

Cell: 8.7076 8.7076 4.8430 Å, 90.00 90.00 90.00°
Atoms (fractional coordinates):
Na 0.0000 0.0000 0.0000
Na 0.5000 0.5000 0.5000
Mg 0.1064 0.3603 0.5000
Mg 0.1397 0.6064 0.0000
Mg 0.3603 0.1064 0.5000
Mg 0.3936 0.8603 0.0000
Mg 0.6064 0.1397 0.0000
Mg 0.6397 0.8936 0.5000
Mg 0.8603 0.3936 0.0000
Mg 0.8936 0.6397 0.5000
Tl 0.2012 0.7988 0.5000
Tl 0.2988 0.2988 0.0000
Tl 0.7012 0.7012 0.0000
Tl 0.7988 0.2012 0.5000

=====

VASP calculation (PBE-GGA) on crystalline MnCr2NiN at its relaxed geometry.

Values from the calculation:
Formation energy from raw total energies: -85 kJ/mol of formula units

Cell: 3.8088 3.8088 3.7915 Å, 90.00 90.00 90.00°
Atoms (fractional coordinates):
Mn 0.0000 0.0000 0.0000
Cr 0.0000 0.5000 0.5000
Cr 0.5000 0.0000 0.5000
Ni 0.5000 0.5000 0.0000
N 0.0000 0.0000 0.5000

=====

Let's list V in order: 15.28; 17.18; 28.83; 20.63; 20.06; 13.29; 16.39; 16.55; 26.64; 15.22; 29.67; 25.33; 41.87; 15.09; 18.90; 20.84; 15.89; 33.73; 10.72; 19.26; 15.00; 15.17; 22.43; 13.09; 17.50; 26.23; 11.00 Å³ per atom.
Let's list calculated total energy in order: -0.680; -0.619; -0.371; -0.253; -0.253; -0.391; -0.601; -0.303; -0.275; -0.796; -0.214; -0.209; -0.084; -0.459; -0.734; -0.315; -0.661; -0.251; -0.423; -0.262; -0.333; -0.576; -0.661; -0.386; -0.481; -0.132; -0.638 Ry per atom.